## one
The following is a DFT calculation (PBE) of a geometry-optimized ErMgBi2 structure. Values from VASP.

Quantum ESPRESSO input file:
```
&SYSTEM
  ibrav = 0, nat = 4, ntyp = 3
/
ATOMIC_SPECIES
Er 167.26 Er.upf
Mg 24.30 Mg.upf
Bi 208.98 Bi.upf
CELL_PARAMETERS angstrom
0.000 3.833 3.833
3.833 0.000 3.833
3.833 3.833 0.000
ATOMIC_POSITIONS crystal
Er 0.000 0.000 0.000
Mg 0.500 0.500 0.500
Bi 0.250 0.250 0.250
Bi 0.750 0.750 0.750
```

Properties
D(E_F) = 2.87 states/eV/cell
total moment = 0.00 μB/cell

=====

## two
The following is a DFT calculation (PBE) of a geometry-optimized ErMgBi2 structure. Values from VASP.

Quantum ESPRESSO input file:
```
&SYSTEM
  ibrav = 0, nat = 8, ntyp = 3
/
ATOMIC_SPECIES
Er 167.26 Er.upf
Mg 24.30 Mg.upf
Bi 208.98 Bi.upf
CELL_PARAMETERS angstrom
4.584 0.000 0.000
0.000 4.584 0.000
0.000 0.000 10.689
ATOMIC_POSITIONS crystal
Er 0.250 0.250 0.221
Er 0.750 0.750 0.779
Mg 0.250 0.750 0.500
Mg 0.750 0.250 0.500
Bi 0.250 0.250 0.691
Bi 0.250 0.750 0.000
Bi 0.750 0.250 0.000
Bi 0.750 0.750 0.309
```

Properties
D(E_F) = 2.90 states/eV/cell
total moment = 0.00 μB/cell

=====

Bottom line: two, by a margin of 0.144 eV/atom.